No. 1
FeNi2Ag, relaxed, DFT PBE-GGA; space-group type = Cm; distance to the lowest polymorph of the same formula = 0.093 eV per atom; M_tot = 3.90 Bohr magnetons per cell; ΔE_f = 212 meV per atom; crystal system = monoclinic; E_tot = -5.51 eV/atom
1.0
4.557 0.002 -0.009
3.787 2.534 -0.009
0.859 0.261 4.487
Ni Ag Fe
2 1 1
Direct
0.741 0.741 0.766 Ni
0.003 0.003 0.007 Ni
0.498 0.498 0.509 Ag
0.259 0.259 0.218 Fe

No. 2
FeNi2Ag, relaxed, DFT PBE-GGA; space-group type = Fmmm; distance to the lowest polymorph of the same formula = 0.068 eV per atom; M_tot = 4.03 Bohr magnetons per cell; ΔE_f = 186 meV per atom; crystal system = orthorhombic; E_tot = -5.53 eV/atom
1.0
4.457 -0.008 -0.020
1.231 4.284 0.020
-2.832 -2.153 2.696
Ni Ag Fe
2 1 1
Direct
0.500 0.500 0.000 Ni
0.000 0.000 0.000 Ni
0.750 0.250 0.500 Ag
0.250 0.750 0.500 Fe

No. 3
Fe3NiAg, relaxed, DFT PBE-GGA; space-group type = Pm-3m; distance to the lowest polymorph of the same formula = 0.909 eV per atom; M_tot = 10.09 Bohr magnetons per cell; ΔE_f = 1836 meV per atom; crystal system = cubic; E_tot = -4.97 eV/atom
1.0
4.652 0.000 0.000
0.000 4.652 0.000
0.000 0.000 4.652
Ag Ni Fe
1 1 3
Direct
0.000 0.000 0.000 Ag
0.500 0.500 0.500 Ni
0.000 0.000 0.500 Fe
0.000 0.500 0.000 Fe
0.500 0.000 0.000 Fe

Question: Which value of distance to the lowest polymorph of the same formula does entry 2 give?
Answer: 0.068 eV per atom

Question: distance to the lowest polymorph of the same formula of number 3 (Fe3NiAg)?
Answer: 0.909 eV per atom

Question: Number 3 is which compound?
Answer: Fe3NiAg